Record 1
A plane-wave DFT calculation with PBE was carried out for crystalline Li3TlO3 at its relaxed geometry.

Unit cell a=3.1067 b=8.1907 c=8.1923 alpha=120.01 beta=90.00 gamma=90.00
With the nearest neighbours (Å) after each atom.
Fractional coordinates of all 14 atoms:
O: 0.7500 0.7069 0.1427  3 Li 1.95-1.96
O: 0.2500 0.2931 0.8573  3 Li 1.95-1.96
Li: 0.2500 0.3285 0.3528  3 O 1.95-1.96
Tl: 0.2500 0.6666 0.3334  6 O 2.34
Li: 0.7500 0.9757 0.3287  3 O 1.95-1.96
O: 0.7500 0.8574 0.5645  3 Li 1.95-1.96
Li: 0.2500 0.6468 0.9757  3 O 1.95-1.96
Li: 0.7500 0.3532 0.0243  3 O 1.95-1.96
O: 0.2500 0.1426 0.4355  3 Li 1.95-1.96
Li: 0.2500 0.0243 0.6713  3 O 1.95-1.96
O: 0.7500 0.4355 0.2929  3 Li 1.95-1.96
O: 0.2500 0.5645 0.7071  3 Li 1.95-1.96
Li: 0.7500 0.6715 0.6472  3 O 1.95-1.96
Tl: 0.7500 0.3334 0.6666  6 O 2.34

Values from the calculation:
ΔE_f (raw): -1.39 eV per atom
energy above the lowest structure with this stoichiometry: 0.00 eV/f.u.
calculated density: 5.0 Mg/m³
space group: No. 176


Record 2
A plane-wave DFT calculation with PBE was carried out for crystalline ZrTl2CrAs at its relaxed geometry.

Unit cell a=5.1627 b=4.7450 c=5.1627 alpha=90.00 beta=90.00 gamma=90.00
With the nearest neighbours (Å) after each atom.
Fractional coordinates of all 5 atoms:
Tl: 0.0000 0.0000 0.5000  2 Cr 2.58
Zr: 0.0000 0.5000 0.0000  2 Cr 2.37
Tl: 0.5000 0.0000 0.0000  2 Cr 2.58
As: 0.5000 0.5000 0.5000  8 Tl 3.51, 4 Zr 3.65
Cr: 0.0000 0.0000 0.0000  2 Zr 2.37, 4 Tl 2.58

Values from the calculation:
calculated density: 8.2 Mg/m³
space group: No. 123
formation energy: 630 meV per atom


Record 3
A plane-wave DFT calculation with PBE was carried out for crystalline YFe2Sb at its relaxed geometry.

Unit cell a=7.5608 b=7.5608 c=6.0966 alpha=51.68 beta=51.68 gamma=90.00
With the nearest neighbours (Å) after each atom.
Fractional coordinates of all 8 atoms:
Fe: 0.0900 0.6250 0.2500  2 Sb 2.60
Sb: 0.0000 0.0000 0.0000  4 Fe 2.60
Sb: 0.7500 0.2500 0.5000  4 Fe 2.60
Fe: 0.8750 0.9100 0.7500  2 Sb 2.60
Fe: 0.3750 0.3400 0.7500  2 Sb 2.60
Y: 0.2500 0.7500 0.5000  2 Sb 2.93, 4 Fe 2.96
Y: 0.5000 0.5000 0.0000  2 Sb 2.93, 4 Fe 2.96
Fe: 0.6600 0.1250 0.2500  2 Sb 2.60

Values from the calculation:
ΔE_f (raw): 0.37 eV per atom
calculated density: 6.4 Mg/m³
space group: No. 122


Record 4
A plane-wave DFT calculation with PBE was carried out for crystalline TmMgInPt at its relaxed geometry.

Unit cell a=4.8854 b=4.8854 c=4.8854 alpha=60.00 beta=60.00 gamma=60.00
With the nearest neighbours (Å) after each atom.
Fractional coordinates of all 4 atoms:
Tm: 0.5000 0.5000 0.5000  4 In 2.99, 4 Pt 2.99
Mg: 0.0000 0.0000 0.0000  4 In 2.99, 4 Pt 2.99
Pt: 0.7500 0.7500 0.7500  4 Tm 2.99, 4 Mg 2.99
In: 0.2500 0.2500 0.2500  4 Mg 2.99, 4 Tm 2.99

Values from the calculation:
calculated density: 10.1 Mg/m³
space group: No. 216
formation energy: -671 meV per atom


Record 5
A plane-wave DFT calculation with PBE was carried out for crystalline La6Tb at its relaxed geometry.

Unit cell a=7.0952 b=7.0952 c=7.0952 alpha=109.47 beta=109.47 gamma=109.47
With the nearest neighbours (Å) after each atom.
Fractional coordinates of all 7 atoms:
Tb: 0.0000 0.0000 0.0000  24 La 4.58
La: 0.5000 0.7500 0.2500  4 La 2.90
La: 0.2500 0.7500 0.5000  4 La 2.90
La: 0.7500 0.2500 0.5000  4 La 2.90
La: 0.7500 0.5000 0.2500  4 La 2.90
La: 0.2500 0.5000 0.7500  4 La 2.90
La: 0.5000 0.2500 0.7500  4 La 2.90

Values from the calculation:
calculated density: 6.0 Mg/m³
space group: No. 229
formation energy: 909 meV per atom


Record 6
A plane-wave DFT calculation with PBE was carried out for crystalline LaMgSi2Pd2 at its relaxed geometry.

Unit cell a=4.2903 b=4.2903 c=7.1340 alpha=90.00 beta=90.00 gamma=120.00
With the nearest neighbours (Å) after each atom.
Fractional coordinates of all 6 atoms:
Pd: 0.6667 0.3333 0.3346  4 Si 2.50-2.72, 3 Mg 2.74
Pd: 0.3333 0.6667 0.6654  4 Si 2.50-2.72, 3 Mg 2.74
Mg: 0.0000 0.0000 0.5000  6 Pd 2.74, 6 Si 2.91
Si: 0.6667 0.3333 0.7152  4 Pd 2.50-2.72
La: 0.0000 0.0000 0.0000  6 Si 3.20, 6 Pd 3.44, 2 Mg 3.57
Si: 0.3333 0.6667 0.2848  4 Pd 2.50-2.72

Values from the calculation:
ΔE_f (raw): -0.80 eV per atom
calculated density: 6.3 Mg/m³
space group: No. 164